A relaxed Tb2ThZrP4 crystal. Source: Alexandria via LeMat-Bulk, functional PBE-GGA.

Cell lengths 6.9039, 3.9877, 6.9072 Å; angles 90.00, 109.39, 90.00 degrees
With the nearest neighbours (Å) after each atom.
Space group P2/m (No. 10)
Symmetry-distinct sites (fractional):
Tb 0.0000 0.0000 0.0000 [1 per cell]  6 P 2.89
Tb 0.5000 0.5000 0.0000 [1 per cell]  6 P 2.79
Th 0.0000 0.5000 0.5000 [1 per cell]  6 P 2.85
Zr 0.5000 0.0000 0.5000 [1 per cell]  6 P 2.75-2.76
P 0.2617 0.0000 0.7489 [2 per cell]  1 Zr 2.75, 3 Tb 2.79-2.89, 2 Th 2.85
P 0.2639 0.5000 0.2593 [2 per cell]  2 Zr 2.76, 3 Tb 2.79-2.89, 1 Th 2.85

Calculated values
energy relative to the elements = -1.503 eV/atom
calculated total energy = -58.89 eV per cell
crystal system = monoclinic